1.
Entry from OQMD: a geometry-optimized Pm2SbP structure (PBE). Values from VASP.

Results
* crystal system: tetragonal
* uncorrected energy: -6.0314 eV/atom

Quantum ESPRESSO input file:
```
&SYSTEM
  ibrav = 0, nat = 4, ntyp = 3
/
ATOMIC_SPECIES
Pm 145.00 Pm.upf
Sb 121.76 Sb.upf
P 30.97 P.upf
CELL_PARAMETERS angstrom
4.3232 0.0000 0.0000
0.0000 4.3232 0.0000
0.0000 0.0000 6.1242
ATOMIC_POSITIONS angstrom
Pm 0.0000 0.0000 0.0000
Pm 2.1616 2.1616 3.0621
Sb 0.0000 0.0000 3.0621
P 2.1616 2.1616 0.0000
```



2.
Entry from OQMD: a geometry-optimized PmPSe structure (PBE). Values from VASP.

Results
* crystal system: orthorhombic
* uncorrected energy: -5.9707 eV/atom

Quantum ESPRESSO input file:
```
&SYSTEM
  ibrav = 0, nat = 12, ntyp = 3
/
ATOMIC_SPECIES
Pm 145.00 Pm.upf
P 30.97 P.upf
Se 78.96 Se.upf
CELL_PARAMETERS angstrom
7.3686 0.0000 0.0000
0.0000 3.8369 0.0000
0.0000 0.0000 9.6131
ATOMIC_POSITIONS angstrom
Pm 1.5820 0.9592 1.5330
Pm 2.1023 2.8776 6.3396
Pm 5.2663 0.9592 3.2736
Pm 5.7866 2.8776 8.0801
P 0.6205 0.9592 4.4515
P 3.0639 2.8776 9.2581
P 4.3048 0.9592 0.3550
P 6.7482 2.8776 5.1616
Se 0.6907 0.9592 8.1610
Se 2.9936 2.8776 3.3544
Se 4.3750 0.9592 6.2587
Se 6.6780 2.8776 1.4521
```



3.
Entry from OQMD: a geometry-optimized Pm2SmP3 structure (PBE). Values from VASP.

Results
* crystal system: trigonal
* uncorrected energy: -6.6412 eV/atom

Quantum ESPRESSO input file:
```
&SYSTEM
  ibrav = 0, nat = 6, ntyp = 3
/
ATOMIC_SPECIES
Pm 145.00 Pm.upf
Sm 150.36 Sm.upf
P 30.97 P.upf
CELL_PARAMETERS angstrom
4.1217 0.0000 0.0000
-2.0609 3.5695 0.0000
0.0000 0.0000 10.0991
ATOMIC_POSITIONS angstrom
Pm 0.0000 2.3797 3.3608
Pm 2.0609 1.1898 6.7383
Sm 0.0000 0.0000 0.0000
P 0.0000 0.0000 5.0495
P 0.0000 2.3797 8.4274
P 2.0609 1.1898 1.6717
```



4.
Entry from OQMD: a geometry-optimized PmSmP2 structure (PBE). Values from VASP.

Results
* crystal system: tetragonal
* uncorrected energy: -6.6397 eV/atom

Quantum ESPRESSO input file:
```
&SYSTEM
  ibrav = 0, nat = 4, ntyp = 3
/
ATOMIC_SPECIES
Pm 145.00 Pm.upf
Sm 150.36 Sm.upf
P 30.97 P.upf
CELL_PARAMETERS angstrom
4.1181 0.0000 0.0000
0.0000 4.1181 0.0000
0.0000 0.0000 5.8235
ATOMIC_POSITIONS angstrom
Pm 0.0000 0.0000 0.0000
Sm 2.0591 2.0591 2.9118
P 0.0000 0.0000 2.9118
P 2.0591 2.0591 0.0000
```



5.
Entry from OQMD: a geometry-optimized Pm6Te5P structure (PBE). Values from VASP.

Results
* crystal system: monoclinic
* uncorrected energy: -5.6255 eV/atom

Quantum ESPRESSO input file:
```
&SYSTEM
  ibrav = 0, nat = 12, ntyp = 3
/
ATOMIC_SPECIES
Pm 145.00 Pm.upf
Te 127.60 Te.upf
P 30.97 P.upf
CELL_PARAMETERS angstrom
3.8336 -6.6362 0.0000
3.8336 6.6362 0.0000
-2.5368 0.0000 7.2177
ATOMIC_POSITIONS angstrom
Pm -0.1206 1.9903 5.2424
Pm 1.0154 0.0000 1.9254
Pm -0.1206 -1.9903 5.2424
Pm 5.2511 1.9903 1.9752
Pm 4.1151 0.0000 5.2922
Pm 5.2511 -1.9903 1.9752
Te 3.8336 4.3020 0.0000
Te 2.5652 2.1883 3.6088
Te 3.8336 0.0000 0.0000
Te 2.5652 -2.1883 3.6088
Te 3.8336 -4.3020 0.0000
P -1.2684 0.0000 3.6088
```



6.
Entry from OQMD: a geometry-optimized PmTh3P4 structure (PBE). Values from VASP.

Results
* crystal system: cubic
* uncorrected energy: -7.6474 eV/atom

Quantum ESPRESSO input file:
```
&SYSTEM
  ibrav = 0, nat = 8, ntyp = 3
/
ATOMIC_SPECIES
Pm 145.00 Pm.upf
Th 232.04 Th.upf
P 30.97 P.upf
CELL_PARAMETERS angstrom
5.8521 0.0000 0.0000
0.0000 5.8521 0.0000
0.0000 0.0000 5.8521
ATOMIC_POSITIONS angstrom
Pm 0.0000 0.0000 0.0000
Th 0.0000 2.9260 2.9260
Th 2.9260 0.0000 2.9260
Th 2.9260 2.9260 0.0000
P 0.0000 0.0000 2.9260
P 0.0000 2.9260 0.0000
P 2.9260 0.0000 0.0000
P 2.9260 2.9260 2.9260
```



7.
Entry from OQMD: a geometry-optimized PrP structure (PBE). Values from VASP.

Results
* crystal system: cubic
* uncorrected energy: -6.1147 eV/atom

Quantum ESPRESSO input file:
```
&SYSTEM
  ibrav = 0, nat = 2, ntyp = 2
/
ATOMIC_SPECIES
Pr 140.91 Pr.upf
P 30.97 P.upf
CELL_PARAMETERS angstrom
0.0000 3.2753 3.2753
3.2753 0.0000 3.2753
3.2753 3.2753 0.0000
ATOMIC_POSITIONS angstrom
Pr 0.0000 0.0000 0.0000
P 1.6377 1.6377 1.6377
```



8.
Entry from OQMD: a geometry-optimized PrP structure (PBE). Values from VASP.

Results
* crystal system: orthorhombic
* uncorrected energy: -5.9038 eV/atom

Quantum ESPRESSO input file:
```
&SYSTEM
  ibrav = 0, nat = 8, ntyp = 2
/
ATOMIC_SPECIES
Pr 140.91 Pr.upf
P 30.97 P.upf
CELL_PARAMETERS angstrom
6.4501 0.0000 0.0000
0.0000 5.6288 0.0000
0.0000 0.0000 5.5896
ATOMIC_POSITIONS angstrom
Pr 0.0000 0.0000 0.0000
Pr 1.6125 2.8144 2.0358
Pr 3.2250 0.0000 0.0000
Pr 4.8375 2.8144 3.5538
P 1.6125 0.0000 2.6955
P 1.6125 2.8144 4.8499
P 4.8375 0.0000 2.8941
P 4.8375 2.8144 0.7397
```



9.
Entry from OQMD: a geometry-optimized PrP4 structure (PBE). Values from VASP.

Results
* crystal system: monoclinic
* uncorrected energy: -5.7502 eV/atom

Quantum ESPRESSO input file:
```
&SYSTEM
  ibrav = 0, nat = 10, ntyp = 2
/
ATOMIC_SPECIES
Pr 140.91 Pr.upf
P 30.97 P.upf
CELL_PARAMETERS angstrom
5.9523 -2.6225 0.0000
5.9523 2.6225 0.0000
-3.9585 0.0000 6.7102
ATOMIC_POSITIONS angstrom
Pr 2.9835 1.8057 5.0327
Pr 4.9627 -1.8057 1.6776
P 1.9399 0.9858 0.5356
P 2.9253 0.3289 2.3890
P -0.0393 -0.9858 3.8908
P 0.9461 -0.3289 5.7441
P 7.0001 0.3289 0.9661
P 7.9855 0.9858 2.8195
P 5.0209 -0.3289 4.3212
P 6.0063 -0.9858 6.1746
```



10.
Entry from OQMD: a geometry-optimized PrP structure (PBE). Values from VASP.

Results
* crystal system: cubic
* uncorrected energy: -6.6117 eV/atom

Quantum ESPRESSO input file:
```
&SYSTEM
  ibrav = 0, nat = 2, ntyp = 2
/
ATOMIC_SPECIES
Pr 140.91 Pr.upf
P 30.97 P.upf
CELL_PARAMETERS angstrom
0.0000 2.9708 2.9708
2.9708 0.0000 2.9708
2.9708 2.9708 0.0000
ATOMIC_POSITIONS angstrom
Pr 0.0000 0.0000 0.0000
P 2.9708 2.9708 2.9708
```



11.
Entry from OQMD: a geometry-optimized PrP2 structure (PBE). Values from VASP.

Results
* crystal system: cubic
* uncorrected energy: -5.5239 eV/atom

Quantum ESPRESSO input file:
```
&SYSTEM
  ibrav = 0, nat = 6, ntyp = 2
/
ATOMIC_SPECIES
Pr 140.91 Pr.upf
P 30.97 P.upf
CELL_PARAMETERS angstrom
0.0000 3.8802 3.8802
3.8802 0.0000 3.8802
3.8802 3.8802 0.0000
ATOMIC_POSITIONS angstrom
Pr 0.9700 0.9700 0.9700
Pr 6.7903 6.7903 6.7903
P 3.8802 1.9401 1.9401
P 1.9401 3.8802 1.9401
P 1.9401 1.9401 3.8802
P 3.8802 3.8802 3.8802
```



12.
Entry from OQMD: a geometry-optimized Pr5P structure (PBE). Values from VASP.

Results
* crystal system: orthorhombic
* uncorrected energy: -4.8767 eV/atom

Quantum ESPRESSO input file:
```
&SYSTEM
  ibrav = 0, nat = 12, ntyp = 2
/
ATOMIC_SPECIES
Pr 140.91 Pr.upf
P 30.97 P.upf
CELL_PARAMETERS angstrom
3.2666 -5.6600 0.0000
3.2666 5.6600 0.0000
0.0000 0.0000 12.0390
ATOMIC_POSITIONS angstrom
Pr 1.6248 0.9356 9.0292
Pr 3.2666 3.7755 6.3000
Pr 3.2666 3.7755 11.7585
Pr 1.6248 -0.9356 3.0097
Pr 3.2666 1.9097 3.0097
Pr 3.2666 -1.9097 9.0292
Pr 4.9085 0.9356 9.0292
Pr 3.2666 -3.7755 0.2805
Pr 3.2666 -3.7755 5.7390
Pr 4.9085 -0.9356 3.0097
P 3.2666 3.7537 9.0292
P 3.2666 -3.7537 3.0097
```



13.
Entry from OQMD: a geometry-optimized Pr3P2 structure (PBE). Values from VASP.

Results
* crystal system: trigonal
* uncorrected energy: -6.0612 eV/atom

Quantum ESPRESSO input file:
```
&SYSTEM
  ibrav = 0, nat = 5, ntyp = 2
/
ATOMIC_SPECIES
Pr 140.91 Pr.upf
P 30.97 P.upf
CELL_PARAMETERS angstrom
4.9257 0.0000 0.0000
-2.4628 4.2657 0.0000
0.0000 0.0000 6.4174
ATOMIC_POSITIONS angstrom
Pr 0.0000 0.0000 0.0000
Pr 0.0000 2.8438 4.3655
Pr 2.4628 1.4219 2.0519
P 0.0000 2.8438 1.3498
P 2.4628 1.4219 5.0676
```



14.
Entry from OQMD: a geometry-optimized PrP2 structure (PBE). Values from VASP.

Results
* crystal system: monoclinic
* uncorrected energy: -6.2220 eV/atom

Quantum ESPRESSO input file:
```
&SYSTEM
  ibrav = 0, nat = 12, ntyp = 2
/
ATOMIC_SPECIES
Pr 140.91 Pr.upf
P 30.97 P.upf
CELL_PARAMETERS angstrom
4.0542 0.0000 0.0000
0.0000 6.6062 0.0000
-2.7534 0.0000 9.8503
ATOMIC_POSITIONS angstrom
Pr -0.6612 1.2056 3.5323
Pr -2.0379 2.0975 8.4574
Pr 3.3387 4.5086 1.3929
Pr 1.9620 5.4006 6.3180
P -0.0210 4.1035 4.4709
P -1.3977 5.8057 9.3960
P 0.0555 1.0767 6.5320
P 1.4322 2.2264 1.6069
P -0.1314 4.3798 8.2434
P 1.2452 5.5294 3.3183
P 2.6985 0.8005 0.4543
P 1.3218 2.5026 5.3794
```



15.
Entry from OQMD: a geometry-optimized PrP structure (PBE). Values from VASP.

Results
* crystal system: hexagonal
* uncorrected energy: -6.3068 eV/atom

Quantum ESPRESSO input file:
```
&SYSTEM
  ibrav = 0, nat = 2, ntyp = 2
/
ATOMIC_SPECIES
Pr 140.91 Pr.upf
P 30.97 P.upf
CELL_PARAMETERS angstrom
4.0820 0.0000 0.0000
-2.0410 3.5351 0.0000
0.0000 0.0000 3.7213
ATOMIC_POSITIONS angstrom
Pr 0.0000 0.0000 0.0000
P 0.0000 2.3567 1.8606
```



16.
Entry from OQMD: a geometry-optimized PrRe4P2 structure (PBE). Values from VASP.

Results
* crystal system: orthorhombic
* uncorrected energy: -9.8855 eV/atom

Quantum ESPRESSO input file:
```
&SYSTEM
  ibrav = 0, nat = 7, ntyp = 3
/
ATOMIC_SPECIES
Pr 140.91 Pr.upf
Re 186.21 Re.upf
P 30.97 P.upf
CELL_PARAMETERS angstrom
2.0420 -6.9989 0.0000
2.0420 6.9989 0.0000
0.0000 0.0000 4.0520
ATOMIC_POSITIONS angstrom
Pr 0.0000 0.0000 0.0000
Re 2.0420 4.4232 2.0260
Re 2.0420 2.7241 0.0000
Re 2.0420 -2.7241 0.0000
Re 2.0420 -4.4232 2.0260
P 2.0420 1.2614 2.0260
P 2.0420 -1.2614 2.0260
```



17.
Entry from OQMD: a geometry-optimized PrPS structure (PBE). Values from VASP.

Results
* crystal system: orthorhombic
* uncorrected energy: -6.3242 eV/atom

Quantum ESPRESSO input file:
```
&SYSTEM
  ibrav = 0, nat = 24, ntyp = 3
/
ATOMIC_SPECIES
Pr 140.91 Pr.upf
P 30.97 P.upf
S 32.06 S.upf
CELL_PARAMETERS angstrom
5.6225 0.0000 0.0000
0.0000 5.5483 0.0000
0.0000 0.0000 17.2771
ATOMIC_POSITIONS angstrom
Pr 0.0926 1.3871 2.3788
Pr 0.0930 4.1612 6.0834
Pr 2.7182 1.3871 14.7220
Pr 2.7186 4.1612 11.0174
Pr 2.9039 1.3871 6.2597
Pr 2.9043 4.1612 2.5551
Pr 5.5295 1.3871 11.1936
Pr 5.5299 4.1612 14.8982
P 1.0964 0.2479 8.6839
P 1.0964 2.5263 8.6839
P 1.7149 3.0220 0.0454
P 1.7149 5.3004 0.0454
P 3.9076 0.2479 17.2317
P 3.9076 2.5263 17.2317
P 4.5261 3.0220 8.5932
P 4.5261 5.3004 8.5932
S 0.0702 4.1612 3.1514
S 0.0840 1.3871 5.3697
S 2.7273 4.1612 14.0082
S 2.7411 1.3871 11.7899
S 2.8814 4.1612 5.4871
S 2.8952 1.3871 3.2689
S 5.5385 4.1612 11.9074
S 5.5523 1.3871 14.1256
```



18.
Entry from OQMD: a geometry-optimized Pr3PS2 structure (PBE). Values from VASP.

Results
* excess energy over the best structure of this formula in the dataset: 13 meV per atom
* crystal system: trigonal
* uncorrected energy: -6.5594 eV/atom

Quantum ESPRESSO input file:
```
&SYSTEM
  ibrav = 0, nat = 6, ntyp = 3
/
ATOMIC_SPECIES
Pr 140.91 Pr.upf
P 30.97 P.upf
S 32.06 S.upf
CELL_PARAMETERS angstrom
4.1400 0.0000 0.0000
-2.0700 3.5853 0.0000
0.0000 0.0000 10.1230
ATOMIC_POSITIONS angstrom
Pr 0.0000 0.0000 0.0000
Pr 0.0000 2.3902 3.4091
Pr 2.0700 1.1951 6.7139
P 0.0000 0.0000 5.0615
S 0.0000 2.3902 8.4606
S 2.0700 1.1951 1.6625
```



19.
Entry from OQMD: a geometry-optimized Pr3PS2 structure (PBE). Values from VASP.

Results
* excess energy over the best structure of this formula in the dataset: 0 meV per atom
* crystal system: orthorhombic
* uncorrected energy: -6.5727 eV/atom

Quantum ESPRESSO input file:
```
&SYSTEM
  ibrav = 0, nat = 6, ntyp = 3
/
ATOMIC_SPECIES
Pr 140.91 Pr.upf
P 30.97 P.upf
S 32.06 S.upf
CELL_PARAMETERS angstrom
-2.0646 2.9211 6.2311
2.0646 -2.9211 6.2311
2.0646 2.9211 -6.2311
ATOMIC_POSITIONS angstrom
Pr 0.0000 0.0000 0.0000
Pr 0.0000 0.0000 4.2122
Pr 0.0000 0.0000 8.2499
P 0.0000 2.9211 0.0000
S 2.0646 0.0000 2.0805
S 0.0000 2.9211 4.1506
```



20.
Entry from OQMD: a geometry-optimized Pr2PS structure (PBE). Values from VASP.

Results
* excess energy over the best structure of this formula in the dataset: 4 meV per atom
* crystal system: tetragonal
* uncorrected energy: -6.5992 eV/atom

Quantum ESPRESSO input file:
```
&SYSTEM
  ibrav = 0, nat = 4, ntyp = 3
/
ATOMIC_SPECIES
Pr 140.91 Pr.upf
P 30.97 P.upf
S 32.06 S.upf
CELL_PARAMETERS angstrom
4.1553 0.0000 0.0000
0.0000 4.1553 0.0000
0.0000 0.0000 5.8650
ATOMIC_POSITIONS angstrom
Pr 0.0000 0.0000 0.0000
Pr 2.0776 2.0776 2.9325
P 0.0000 0.0000 2.9325
S 2.0776 2.0776 0.0000
```